# 1
A relaxed structure of BaB3Rh. Source: the Alexandria database, functional PBE-GGA.

The structure belongs to space group Pm-3m (No. 221); the cell edges are 4.6418, 4.6418 and 4.6418 Å and the angles 90.00°, 90.00° and 90.00°. Symmetry generates all atoms from Ba at (0.0000, 0.0000, 0.0000), B at (0.0000, 0.0000, 0.5000) and Rh at (0.5000, 0.5000, 0.5000).

The value obtained for the formation energy is 3.2256 eV/atom. Its relative energy among the computed polymorphs is 2675 meV/atom. The value obtained for the total magnetization is 0.00 μB per formula unit. As for the total energy: -13.18 eV for the cell shown.

***

# 2
A relaxed structure of Li2SiCl. Source: the Alexandria database, functional PBE-GGA.

The structure belongs to space group I-42d (No. 122); the cell edges are 6.4796, 6.4796 and 7.7174 Å and the angles 90.00°, 90.00° and 90.00°. Symmetry generates all atoms from Li at (0.2004, 0.2500, 0.1250), Si at (0.0000, 0.0000, 0.5000) and Cl at (0.0000, 0.0000, 0.0000).

Its relative energy among the computed polymorphs is 255 meV/atom. The value obtained for the total magnetization is 0.00 μB per formula unit. As for the total energy: -50.91 eV for the cell shown.

***

# 3
A relaxed structure of TaVRu4. Source: the Alexandria database, functional PBE-GGA.

The structure belongs to space group P4/mmm (No. 123); the cell edges are 4.1128, 4.1128 and 5.9643 Å and the angles 90.00°, 90.00° and 90.00°. Symmetry generates all atoms from Ta at (0.0000, 0.0000, 0.0000), V at (0.5000, 0.5000, 0.5000) and Ru at (0.0000, 0.5000, 0.2655).

The value obtained for the formation energy is 0.3389 eV/atom. Its relative energy among the computed polymorphs is 370 meV/atom. The value obtained for the total magnetization is 0.00 μB per formula unit. As for the total energy: -56.04 eV for the cell shown.

***

# 4
A relaxed structure of Zn2IrBr. Source: the Alexandria database, functional PBE-GGA.

The structure belongs to space group Pmmm (No. 47); the cell edges are 3.0239, 4.5850 and 4.8244 Å and the angles 90.00°, 90.00° and 90.00°. Symmetry generates all atoms from Zn at (0.0000, 0.0000, 0.0000), Zn at (0.5000, 0.5000, 0.0000), Ir at (0.0000, 0.5000, 0.5000) and Br at (0.5000, 0.0000, 0.5000).

Its relative energy among the computed polymorphs is 589 meV/atom. The value obtained for the total magnetization is 0.00 μB per formula unit. As for the total energy: -11.04 eV for the cell shown.

***

Look up the relative energy among the computed polymorphs of the first one. 2675 meV/atom

***

Which formula does entry 3 have? TaVRu4

***

Number 1 is which compound? BaB3Rh